(1)
{"formula": "Mg3TcPt12", "functional": "PBE-GGA", "state": "relaxed", "total_energy_ha_per_atom": -0.219, "lattice_angstrom": [[-1.174, -3.461, -1.492], [3.515, -0.442, -1.742], [5.476, -7.435, 12.936]], "species": ["Mg", "Mg", "Mg", "Tc", "Pt", "Pt", "Pt", "Pt", "Pt", "Pt", "Pt", "Pt", "Pt", "Pt", "Pt", "Pt"], "frac_coords": [[0.000, 0.000, 0.252], [0.000, 0.000, 0.500], [0.000, 0.000, 0.748], [0.000, 0.000, 0.000], [0.500, 0.500, 0.000], [0.500, 0.500, 0.249], [0.500, 0.500, 0.500], [0.500, 0.500, 0.751], [0.500, 0.000, 0.122], [0.500, 0.000, 0.375], [0.500, 0.000, 0.625], [0.500, 0.000, 0.878], [0.000, 0.500, 0.122], [0.000, 0.500, 0.375], [0.000, 0.500, 0.625], [0.000, 0.500, 0.878]]}

(2)
{"formula": "MgTc2Pt2", "functional": "PBE-GGA", "state": "relaxed", "total_energy_ha_per_atom": -0.253, "lattice_angstrom": [[7.780, 0.000, 0.000], [0.000, 7.780, 0.000], [0.000, 0.000, 2.758]], "species": ["Mg", "Mg", "Tc", "Tc", "Tc", "Tc", "Pt", "Pt", "Pt", "Pt"], "frac_coords": [[0.000, 0.000, 0.000], [0.500, 0.500, 0.000], [0.389, 0.889, 0.000], [0.889, 0.611, 0.000], [0.611, 0.111, 0.000], [0.111, 0.389, 0.000], [0.184, 0.684, 0.500], [0.684, 0.816, 0.500], [0.816, 0.316, 0.500], [0.316, 0.184, 0.500]]}

(3)
{"formula": "Mg2TcPt", "functional": "PBE-GGA", "state": "relaxed", "e_above_lowest_polymorph_mev_per_atom": 149, "total_energy_ha_per_atom": -0.183, "lattice_angstrom": [[4.864, -0.137, 0.000], [1.495, 4.630, 0.000], [-3.179, -2.247, 2.919]], "species": ["Mg", "Mg", "Pt", "Tc"], "frac_coords": [[0.000, 0.000, 0.000], [0.250, 0.750, 0.500], [0.500, 0.500, 0.000], [0.750, 0.250, 0.500]]}